A plane-wave DFT calculation with GGA+U was carried out for Ta2WO8 after structural relaxation.

Structure (POSCAR):
```
Ta2WO8
1.0
3.8739 0.0000 0.0000
0.0000 18.1575 0.0000
-0.0006 0.0000 16.9309
Ta W O
16 8 64
direct
0.0000 0.0482 0.5000
0.0000 0.9518 0.0000
0.0006 0.0490 0.2631
0.0006 0.3403 0.1902
0.0015 0.4501 0.0031
0.0015 0.5499 0.5031
0.0006 0.6597 0.6902
0.0006 0.9510 0.7631
0.0018 0.3467 0.5733
0.0018 0.6533 0.0733
0.0052 0.0963 0.8793
0.0052 0.9037 0.3793
0.0133 0.2800 0.8814
0.0133 0.7200 0.3814
0.9977 0.4019 0.3827
0.9977 0.5981 0.8827
0.0408 0.2214 0.3827
0.0408 0.7786 0.8827
0.9743 0.4537 0.7638
0.9743 0.5463 0.2638
0.9811 0.1566 0.0695
0.9811 0.8434 0.5695
0.9833 0.1582 0.6905
0.9833 0.8418 0.1905
0.0004 0.0901 0.1529
0.0002 0.2465 0.1233
0.0001 0.4232 0.6568
0.9996 0.4349 0.2625
0.9996 0.5651 0.7625
0.0001 0.5768 0.1568
0.0002 0.7535 0.6233
0.0004 0.9099 0.6529
0.0014 0.0622 0.7615
0.0014 0.0640 0.9983
0.0006 0.2478 0.6370
0.0010 0.4120 0.1096
0.0012 0.4344 0.5003
0.0012 0.5656 0.0003
0.0010 0.5880 0.6096
0.0006 0.7522 0.1370
0.0014 0.9360 0.4983
0.0014 0.9378 0.2615
0.0021 0.0196 0.3806
0.0015 0.0889 0.6084
0.0020 0.1918 0.9555
0.0020 0.8082 0.4555
0.0015 0.9111 0.1084
0.0021 0.9804 0.8806
0.0025 0.1900 0.8029
0.0034 0.3070 0.3097
0.0030 0.3523 0.9618
0.0030 0.6477 0.4618
0.0034 0.6931 0.8097
0.0025 0.8100 0.3029
0.0042 0.3057 0.4600
0.0042 0.6943 0.9600
0.0053 0.1501 0.4620
0.0053 0.8499 0.9620
0.0069 0.1520 0.3018
0.0069 0.8480 0.8018
0.4939 0.4598 0.7621
0.4939 0.5402 0.2621
0.4971 0.1576 0.0640
0.4971 0.8424 0.5640
0.4979 0.1573 0.6946
0.4979 0.8427 0.1946
0.5012 0.3280 0.1952
0.5005 0.3973 0.3824
0.5012 0.4607 0.0052
0.5012 0.5393 0.5052
0.5005 0.6027 0.8824
0.5012 0.6720 0.6952
0.5018 0.0427 0.5074
0.5020 0.0466 0.2543
0.5018 0.3371 0.5790
0.5018 0.6629 0.0790
0.5020 0.9534 0.7543
0.5018 0.9573 0.0074
0.5030 0.0994 0.8804
0.5030 0.9006 0.3804
0.5051 0.2766 0.8725
0.5051 0.7234 0.3725
0.5151 0.2245 0.3837
0.5151 0.7755 0.8837
0.9983 0.3571 0.7983
0.9982 0.4842 0.8799
0.9982 0.5158 0.3799
0.9983 0.6429 0.2983
```

Properties
Theoretical density ... 7.52 g cm⁻³
DOS(E_F) ... 0.00 states/eV per cell
ΔE to the lowest computed polymorph ... 0.000 eV/atom
Crystal system ... monoclinic
E ... -8.948 eV per atom
SG ... Pc